[1]
A plane-wave DFT calculation with GGA-PBEsol was carried out for crystalline BaZr2As at its relaxed geometry.

Its volume is 96.4 Å³ per cell. For the total energy, the calculation gives -6.1091 eV per atom. The calculation puts the formation energy at 0.250 eV per atom. The crystal system is cubic. Its mass density is 6.8 g/cm³.

Cell: 5.1464 5.1464 5.1464 Å, 60.00 60.00 60.00°
Sites, in units of the cell vectors:
As 0.5000 0.5000 0.5000
Ba 0.2500 0.2500 0.2500
Zr 0.0000 0.0000 0.0000
Zr 0.7500 0.7500 0.7500

[2]
A plane-wave DFT calculation with GGA-PBEsol was carried out for crystalline BeAs at its relaxed geometry.

Its volume is 58.9 Å³ per cell. For the total energy, the calculation gives -4.2152 eV per atom. The calculation puts the formation energy at 0.338 eV per atom. For the offset from the most stable computed form, the calculation gives 0.328 eV per atom. The crystal system is orthorhombic. Its mass density is 4.7 g/cm³.

Cell: 2.6985 3.5615 6.1309 Å, 90.00 90.00 90.00°
Sites, in units of the cell vectors:
Be 0.5000 0.7500 0.1151
Be 0.5000 0.2500 0.8849
As 0.0000 0.7500 0.7277
As 0.0000 0.2500 0.2723

[3]
A plane-wave DFT calculation with GGA-PBEsol was carried out for crystalline Be7As at its relaxed geometry.

Its volume is 77.1 Å³ per cell. For the total energy, the calculation gives -3.8135 eV per atom. The calculation puts the formation energy at 0.325 eV per atom. The crystal system is cubic. Its mass density is 3.0 g/cm³.

Cell: 4.7765 4.7765 4.7765 Å, 60.00 60.00 60.00°
Sites, in units of the cell vectors:
Be 0.0000 0.0000 0.5000
Be 0.0000 0.5000 0.0000
Be 0.5000 0.0000 0.0000
Be 0.5000 0.5000 0.0000
Be 0.5000 0.0000 0.5000
Be 0.0000 0.5000 0.5000
Be 0.5000 0.5000 0.5000
As 0.0000 0.0000 0.0000

[4]
A plane-wave DFT calculation with GGA-PBEsol was carried out for crystalline BeAs3 at its relaxed geometry.

Its volume is 149.9 Å³ per cell. For the total energy, the calculation gives -4.4856 eV per atom. The calculation puts the formation energy at 0.344 eV per atom. The crystal system is orthorhombic. Its mass density is 5.2 g/cm³.

Cell: 3.3876 7.0723 7.0723 Å, 117.81 90.00 90.00°
Sites, in units of the cell vectors:
Be 0.2500 0.4336 0.5664
Be 0.7500 0.5664 0.4336
As 0.7500 0.9132 0.0868
As 0.2500 0.0868 0.9132
As 0.7500 0.9242 0.5811
As 0.2500 0.0758 0.4189
As 0.7500 0.4189 0.0758
As 0.2500 0.5811 0.9242

[5]
A plane-wave DFT calculation with GGA-PBEsol was carried out for crystalline BeAs at its relaxed geometry.

Its volume is 69.1 Å³ per cell. For the total energy, the calculation gives -4.4488 eV per atom. The calculation puts the formation energy at 0.104 eV per atom. For the offset from the most stable computed form, the calculation gives 0.095 eV per atom. The crystal system is trigonal. Its mass density is 4.0 g/cm³.

Cell: 3.8070 3.8070 5.9276 Å, 71.27 71.27 60.00°
Sites, in units of the cell vectors:
Be 0.4169 0.4169 0.7494
Be 0.5831 0.5831 0.2506
As 0.0768 0.0768 0.7695
As 0.9232 0.9232 0.2305

[6]
A plane-wave DFT calculation with GGA-PBEsol was carried out for crystalline Be2As at its relaxed geometry.

Its volume is 39.0 Å³ per cell. For the total energy, the calculation gives -3.9322 eV per atom. The calculation puts the formation energy at 0.437 eV per atom. For the offset from the most stable computed form, the calculation gives 0.031 eV per atom. The crystal system is trigonal. Its mass density is 4.0 g/cm³.

Cell: 3.5979 3.5370 3.5370 Å, 120.00 90.00 90.00°
Sites, in units of the cell vectors:
Be 0.6996 0.6667 0.3333
Be 0.3004 0.3333 0.6667
As 0.0000 0.0000 0.0000

| no. | DOS(E_F) (states/eV/cell) |
| --- | --- |
| 1 | 5.10 |
| 2 | 1.57 |
| 3 | 2.13 |
| 4 | 3.91 |
| 5 | 0.91 |
| 6 | 0.72 |